Here is an optimized crystal structure of Ba2Sr2Cl from Alexandria via LeMat-Bulk. Energies are from PBE.

Total DFT energy (no corrections)   -2.325 eV per atom
Symmetry   P4/mbm (127)
Formation energy from raw total energies   -0.514 eV/atom
Size of the total moment   0.00 μB/f.u.

Unit cell a=8.380 b=8.380 c=7.574 alpha=90.00 beta=90.00 gamma=90.00
Element x y z (fractional)
Ba1 0.164 0.336 0.000
Ba2 0.336 0.836 0.000
Ba3 0.664 0.164 0.000
Ba4 0.836 0.664 0.000
Sr1 0.173 0.673 0.500
Sr2 0.327 0.173 0.500
Sr3 0.673 0.827 0.500
Sr4 0.827 0.327 0.500
Cl1 0.000 0.000 0.500
Cl2 0.500 0.500 0.500

***

Here is an optimized crystal structure of BeCr2Cu from Alexandria via LeMat-Bulk. Energies are from PBE.

Total DFT energy (no corrections)   -6.523 eV per atom
Symmetry   F-43m (216)
Size of the total moment   0.57 μB/f.u.
Formation energy   0.245 eV per atom

Unit cell a=4.017 b=4.017 c=4.017 alpha=60.00 beta=60.00 gamma=60.00
Element x y z (fractional)
Be1 0.000 0.000 0.000
Cr1 0.250 0.250 0.250
Cr2 0.500 0.500 0.500
Cu1 0.750 0.750 0.750

***

Here is an optimized crystal structure of NbGa2Ge from Alexandria via LeMat-Bulk. Energies are from PBE.

Total DFT energy (no corrections)   -4.998 eV per atom
Symmetry   I-42d (122)
Size of the total moment   0.00 μB/f.u.
Formation energy   0.187 eV per atom

Unit cell a=5.863 b=5.863 c=5.863 alpha=101.95 beta=101.95 gamma=125.87
Element x y z (fractional)
Nb1 0.000 0.000 0.000
Nb2 0.750 0.250 0.500
Ga1 0.137 0.125 0.512
Ga2 0.375 0.863 0.988
Ga3 0.613 0.625 0.488
Ga4 0.875 0.387 0.012
Ge1 0.250 0.750 0.500
Ge2 0.500 0.500 0.000

***

Here is an optimized crystal structure of Pm3Co from Alexandria via LeMat-Bulk. Energies are from PBE.

Total DFT energy (no corrections)   -5.333 eV per atom
Symmetry   C2 (5)
Size of the total moment   0.00 μB/f.u.
Formation energy   0.006 eV per atom

Unit cell a=8.856 b=8.856 c=6.320 alpha=110.90 beta=110.90 gamma=82.65
Element x y z (fractional)
Pm1 0.000 0.000 0.000
Pm2 0.000 0.280 0.640
Pm3 0.168 0.640 0.157
Pm4 0.360 0.041 0.513
Pm5 0.360 0.240 0.112
Pm6 0.360 0.449 0.651
Pm7 0.360 0.832 0.843
Pm8 0.551 0.640 0.349
Pm9 0.720 0.000 0.360
Pm10 0.720 0.280 0.000
Pm11 0.760 0.640 0.888
Pm12 0.959 0.640 0.487
Co1 0.063 0.344 0.203
Co2 0.064 0.936 0.500
Co3 0.656 0.937 0.797
Co4 0.657 0.343 0.500

***

Here is an optimized crystal structure of ThFe4Au from Alexandria via LeMat-Bulk. Energies are from PBE.

Total DFT energy (no corrections)   -7.488 eV per atom
Symmetry   F-43m (216)
Size of the total moment   9.08 μB/f.u.
Formation energy   -0.063 eV per atom

Unit cell a=5.117 b=5.117 c=5.117 alpha=60.00 beta=60.00 gamma=60.00
Element x y z (fractional)
Th1 0.000 0.000 0.000
Fe1 0.129 0.624 0.624
Fe2 0.624 0.129 0.624
Fe3 0.624 0.624 0.129
Fe4 0.624 0.624 0.624
Au1 0.250 0.250 0.250

***

Here is an optimized crystal structure of K3MnSb2 from Alexandria via LeMat-Bulk. Energies are from PBE.

Total DFT energy (no corrections)   -3.732 eV per atom
Symmetry   Ibam (72)
Formation energy from raw total energies   -0.281 eV/atom
Size of the total moment   4.00 μB/f.u.

Unit cell a=9.256 b=9.256 c=9.256 alpha=122.92 beta=75.85 gamma=134.51
Element x y z (fractional)
K1 0.181 0.682 0.863
K2 0.250 0.250 0.000
K3 0.319 0.182 0.502
K4 0.681 0.818 0.498
K5 0.750 0.750 0.000
K6 0.819 0.318 0.137
Mn1 0.250 0.750 0.500
Mn2 0.750 0.250 0.500
Sb1 0.086 0.315 0.401
Sb2 0.414 0.815 0.229
Sb3 0.586 0.185 0.771
Sb4 0.914 0.685 0.599